# 1
Computed, not measured: TmNi after structural relaxation at the PBE level of DFT.

Its formation energy is -0.504 eV per atom. Its crystal system is orthorhombic. As for the density: 9865 kg/m³. For the energy, the calculation gives -5.630 eV per atom.

The structure belongs to space group Pnma (No. 62); the cell edges are 6.882, 4.170 and 5.341 Å and the angles 90.00°, 90.00° and 90.00°. The asymmetric unit holds Tm at (0.180, 0.250, 0.134) and Ni at (0.037, 0.250, 0.628).

# 2
Computed, not measured: PBr4 after structural relaxation at the PBE level of DFT.

Its crystal system is cubic. The calculation puts the distance to the lowest polymorph of the same formula at 691 meV/atom. As for the uncorrected formation energy: 2.08 eV per formula unit. As for the density: 4192 kg/m³. For the energy, the calculation gives -2.005 eV per atom.

The structure belongs to space group Im-3m (No. 229); the cell edges are 6.524, 6.524 and 6.524 Å and the angles 90.00°, 90.00° and 90.00°. The asymmetric unit holds P at (0.000, 0.000, 0.000) and Br at (0.250, 0.250, 0.250).

# 3
Computed, not measured: IrCF2 after structural relaxation at the PBE level of DFT.

Its crystal system is tetragonal. The calculation puts the distance to the lowest polymorph of the same formula at 0 meV/atom. As for the uncorrected formation energy: 0.47 eV per formula unit. As for the density: 6857 kg/m³. For the energy, the calculation gives -5.339 eV per atom.

The structure belongs to space group I-42d (No. 122); the cell edges are 7.840, 7.840 and 3.817 Å and the angles 90.00°, 90.00° and 90.00°. The asymmetric unit holds Ir at (0.000, 0.000, 0.000), C at (0.000, 0.000, 0.500) and F at (0.095, 0.250, 0.125).

# 4
Computed, not measured: Cs2KCaBr5 after structural relaxation at the PBE level of DFT.

Its crystal system is orthorhombic. As for the uncorrected formation energy: -16.46 eV per formula unit. As for the density: 3126 kg/m³. For the energy, the calculation gives -3.293 eV per atom.

The structure belongs to space group Immm (No. 71); the cell edges are 5.603, 8.135 and 17.353 Å and the angles 90.00°, 90.00° and 90.00°. The asymmetric unit holds Cs at (0.000, 0.000, 0.207), K at (0.000, 0.500, 0.000), Ca at (0.000, 0.500, 0.500), Br at (0.000, 0.000, 0.000) and Br at (0.000, 0.248, 0.380).